# 1
Mg2InB: relaxed, GGA-PBEsol.

calculated total energy: -0.10165 hartree per atom
ρ: 4.11 g/cm³
formation enthalpy at 0 K: 2.4 eV per formula unit

abc: 4.635 4.635 4.635
angles: 60.00 60.00 60.00
Element x y z (fractional)
Mg (0.250, 0.250, 0.250)
Mg (0.750, 0.750, 0.750)
B (0.000, 0.000, 0.000)
In (0.500, 0.500, 0.500)

---

# 2
MgIn2BPb: relaxed, GGA-PBEsol.

calculated total energy: -0.09614 hartree per atom
ρ: 5.22 g/cm³
formation enthalpy at 0 K: 5.6 eV per formula unit

abc: 4.040 6.097 6.097
angles: 90.00 90.00 90.00
Element x y z (fractional)
Pb (0.000, 0.000, 0.000)
Mg (0.500, 0.500, 0.500)
B (0.500, 0.000, 0.000)
In (0.000, 0.000, 0.500)
In (0.000, 0.500, 0.000)

---

# 3
MnIn3B: relaxed, GGA-PBEsol.

calculated total energy: -0.14418 hartree per atom
ρ: 5.67 g/cm³
formation enthalpy at 0 K: 6.1 eV per formula unit

abc: 4.934 4.934 4.934
angles: 90.00 90.00 90.00
Element x y z (fractional)
B (0.500, 0.500, 0.500)
Mn (0.000, 0.000, 0.000)
In (0.000, 0.500, 0.000)
In (0.000, 0.000, 0.500)
In (0.500, 0.000, 0.000)

---

# 4
MnInB3: relaxed, GGA-PBEsol.

calculated total energy: -0.15740 hartree per atom
ρ: 4.01 g/cm³
formation enthalpy at 0 K: 12.4 eV per formula unit

abc: 4.374 4.374 4.374
angles: 90.00 90.00 90.00
Element x y z (fractional)
B (0.000, 0.500, 0.000)
B (0.000, 0.000, 0.500)
B (0.500, 0.000, 0.000)
Mn (0.500, 0.500, 0.500)
In (0.000, 0.000, 0.000)

---

# 5
InBTeN2: relaxed, GGA-PBEsol.

calculated total energy: -0.14593 hartree per atom
energy relative to the lowest polymorph listed for this composition: 563 meV per atom
ρ: 4.57 g/cm³
formation energy (no corrections): 10.7 eV/f.u.

abc: 4.049 4.049 6.231
angles: 90.00 90.00 90.00
Element x y z (fractional)
N (0.000, 0.500, 0.000)
N (0.500, 0.000, 0.000)
Te (0.000, 0.000, 0.500)
B (0.500, 0.500, 0.500)
In (0.000, 0.000, 0.000)

---

# 6
InBTeN2: relaxed, GGA-PBEsol.

calculated total energy: -0.16663 hartree per atom
energy relative to the lowest polymorph listed for this composition: 0 meV per atom
ρ: 6.64 g/cm³
formation energy (no corrections): 7.9 eV/f.u.

abc: 3.765 3.765 4.959
angles: 90.00 90.00 90.00
Element x y z (fractional)
N (0.000, 0.500, 0.000)
N (0.500, 0.000, 0.000)
Te (0.000, 0.000, 0.500)
B (0.000, 0.000, 0.000)
In (0.500, 0.500, 0.500)

---

# 7
InSiNiB2: relaxed, GGA-PBEsol.

calculated total energy: -0.12968 hartree per atom
ρ: 4.00 g/cm³
formation energy (no corrections): 11.3 eV/f.u.

abc: 4.179 4.179 5.306
angles: 90.00 90.00 90.00
Element x y z (fractional)
Ni (0.500, 0.500, 0.500)
Si (0.000, 0.000, 0.500)
B (0.000, 0.500, 0.000)
B (0.500, 0.000, 0.000)
In (0.000, 0.000, 0.000)

---

# 8
In2BP3O12: relaxed, GGA-PBEsol.

calculated total energy: -0.26857 hartree per atom
ρ: 3.80 g/cm³
formation energy (no corrections): -38.2 eV/f.u.

abc: 7.809 8.235 8.235
angles: 120.00 90.00 90.00
Element x y z (fractional)
In (0.956, 0.667, 0.333)
In (0.456, 0.333, 0.667)
In (0.044, 0.333, 0.667)
In (0.544, 0.667, 0.333)
B (0.750, 0.000, 0.000)
B (0.250, 0.000, 0.000)
P (0.750, 0.649, 0.958)
P (0.750, 0.309, 0.351)
P (0.750, 0.042, 0.691)
P (0.250, 0.351, 0.042)
P (0.250, 0.691, 0.649)
P (0.250, 0.958, 0.309)
O (0.750, 0.873, 0.060)
O (0.750, 0.188, 0.127)
O (0.750, 0.940, 0.812)
O (0.250, 0.127, 0.940)
O (0.250, 0.812, 0.873)
O (0.250, 0.060, 0.188)
O (0.750, 0.612, 0.126)
O (0.750, 0.514, 0.388)
O (0.750, 0.874, 0.486)
O (0.250, 0.388, 0.874)
O (0.250, 0.486, 0.612)
O (0.250, 0.126, 0.514)
O (0.914, 0.581, 0.847)
O (0.914, 0.266, 0.419)
O (0.914, 0.153, 0.734)
O (0.414, 0.419, 0.153)
O (0.414, 0.734, 0.581)
O (0.414, 0.847, 0.266)
O (0.086, 0.419, 0.153)
O (0.086, 0.734, 0.581)
O (0.086, 0.847, 0.266)
O (0.586, 0.581, 0.847)
O (0.586, 0.266, 0.419)
O (0.586, 0.153, 0.734)

---

# 9
InB3Os: relaxed, GGA-PBEsol.

calculated total energy: -0.23421 hartree per atom
ρ: 7.67 g/cm³
formation enthalpy at 0 K: 4.4 eV per formula unit

abc: 4.180 4.180 4.180
angles: 90.00 90.00 90.00
Element x y z (fractional)
B (0.000, 0.500, 0.000)
B (0.000, 0.000, 0.500)
B (0.500, 0.000, 0.000)
Os (0.000, 0.000, 0.000)
In (0.500, 0.500, 0.500)

---

# 10
In3BP: relaxed, GGA-PBEsol.

calculated total energy: -0.14094 hartree per atom
ρ: 6.42 g/cm³
formation enthalpy at 0 K: 2.6 eV per formula unit

abc: 4.641 4.641 4.641
angles: 90.00 90.00 90.00
Element x y z (fractional)
P (0.500, 0.500, 0.500)
B (0.000, 0.000, 0.000)
In (0.000, 0.500, 0.000)
In (0.000, 0.000, 0.500)
In (0.500, 0.000, 0.000)

---

# 11
InB3Pt: relaxed, GGA-PBEsol.

calculated total energy: -0.18769 hartree per atom
ρ: 7.76 g/cm³
formation enthalpy at 0 K: 5.5 eV per formula unit

abc: 4.184 4.184 4.184
angles: 90.00 90.00 90.00
Element x y z (fractional)
B (0.000, 0.500, 0.000)
B (0.000, 0.000, 0.500)
B (0.500, 0.000, 0.000)
Pt (0.000, 0.000, 0.000)
In (0.500, 0.500, 0.500)

---

# 12
Rb2InBS: relaxed, GGA-PBEsol.

calculated total energy: -0.10802 hartree per atom
ρ: 3.41 g/cm³
formation energy (no corrections): 1.7 eV/f.u.

abc: 3.745 6.540 6.540
angles: 90.00 90.00 90.00
Element x y z (fractional)
S (0.000, 0.000, 0.000)
B (0.500, 0.000, 0.000)
Rb (0.000, 0.000, 0.500)
Rb (0.000, 0.500, 0.000)
In (0.500, 0.500, 0.500)

---

# 13
InReB3: relaxed, GGA-PBEsol.

calculated total energy: -0.16362 hartree per atom
ρ: 7.33 g/cm³
formation enthalpy at 0 K: 15.1 eV per formula unit

abc: 4.227 4.227 4.227
angles: 90.00 90.00 90.00
Element x y z (fractional)
Re (0.500, 0.500, 0.500)
B (0.000, 0.500, 0.000)
B (0.000, 0.000, 0.500)
B (0.500, 0.000, 0.000)
In (0.000, 0.000, 0.000)

---

# 14
InRe3B: relaxed, GGA-PBEsol.

calculated total energy: -0.35105 hartree per atom
ρ: 15.79 g/cm³
formation enthalpy at 0 K: 2.2 eV per formula unit

abc: 4.160 4.160 4.160
angles: 90.00 90.00 90.00
Element x y z (fractional)
Re (0.000, 0.500, 0.000)
Re (0.000, 0.000, 0.500)
Re (0.500, 0.000, 0.000)
B (0.000, 0.000, 0.000)
In (0.500, 0.500, 0.500)

---

# 15
In3ReB: relaxed, GGA-PBEsol.

calculated total energy: -0.16643 hartree per atom
ρ: 9.57 g/cm³
formation enthalpy at 0 K: 6.7 eV per formula unit

abc: 4.546 4.546 4.546
angles: 90.00 90.00 90.00
Element x y z (fractional)
Re (0.500, 0.500, 0.500)
B (0.000, 0.000, 0.000)
In (0.000, 0.500, 0.000)
In (0.000, 0.000, 0.500)
In (0.500, 0.000, 0.000)

---

# 16
InB2Ru: relaxed, GGA-PBEsol.

calculated total energy: -0.22399 hartree per atom
ρ: 6.36 g/cm³
formation enthalpy at 0 K: 2.8 eV per formula unit

abc: 4.932 4.932 6.180
angles: 113.52 113.52 90.00
Element x y z (fractional)
Ru (0.750, 0.250, 0.500)
Ru (0.500, 0.500, 0.000)
B (0.450, 0.875, 0.250)
B (0.800, 0.375, 0.250)
B (0.125, 0.200, 0.750)
B (0.625, 0.550, 0.750)
In (0.250, 0.750, 0.500)
In (0.000, 0.000, 0.000)

---

# 17
InBS2: relaxed, GGA-PBEsol.

calculated total energy: -0.14109 hartree per atom
ρ: 4.90 g/cm³
formation energy (no corrections): 3.4 eV/f.u.

abc: 4.497 4.497 4.497
angles: 60.00 60.00 60.00
Element x y z (fractional)
S (0.250, 0.250, 0.250)
S (0.750, 0.750, 0.750)
B (0.000, 0.000, 0.000)
In (0.500, 0.500, 0.500)

---

# 18
InSiBS2: relaxed, GGA-PBEsol.

calculated total energy: -0.16767 hartree per atom
ρ: 4.19 g/cm³
formation energy (no corrections): 1.7 eV/f.u.

abc: 3.853 4.736 4.736
angles: 90.00 90.00 90.00
Element x y z (fractional)
S (0.000, 0.000, 0.500)
S (0.000, 0.500, 0.000)
B (0.500, 0.000, 0.000)
Si (0.000, 0.000, 0.000)
In (0.500, 0.500, 0.500)

---

# 19
ScIn2B2: relaxed, GGA-PBEsol.

calculated total energy: -0.17107 hartree per atom
ρ: 5.92 g/cm³
formation enthalpy at 0 K: 3.3 eV per formula unit

abc: 4.300 4.300 5.425
angles: 113.35 113.35 90.00
Element x y z (fractional)
Sc (0.000, 0.000, 0.000)
B (0.250, 0.750, 0.500)
B (0.750, 0.250, 0.500)
In (0.351, 0.351, 0.702)
In (0.649, 0.649, 0.298)

---

# 20
ScIn3B: relaxed, GGA-PBEsol.

calculated total energy: -0.14925 hartree per atom
ρ: 6.21 g/cm³
formation enthalpy at 0 K: 2.3 eV per formula unit

abc: 4.748 4.748 4.748
angles: 90.00 90.00 90.00
Element x y z (fractional)
Sc (0.500, 0.500, 0.500)
B (0.000, 0.000, 0.000)
In (0.000, 0.500, 0.000)
In (0.000, 0.000, 0.500)
In (0.500, 0.000, 0.000)